Record 1
A plane-wave DFT calculation with PBE-GGA was carried out for a geometry-optimized LaHo3Er structure.

a b c (Å): 5.463 10.398 11.819
angles (deg): 90.00 90.00 90.00
Atoms (fractional coordinates):
Ho 0.500 0.437 0.308
Ho 0.000 0.750 0.673
Ho 0.000 0.937 0.192
Ho 0.000 0.563 0.192
Ho 0.000 0.250 0.327
Ho 0.000 0.063 0.808
Ho 0.500 0.250 0.827
Ho 0.500 0.563 0.692
Ho 0.500 0.063 0.308
Ho 0.000 0.437 0.808
Ho 0.500 0.750 0.173
Ho 0.500 0.937 0.692
La 0.999 0.250 0.050
La 0.501 0.250 0.550
La 0.001 0.750 0.950
La 0.499 0.750 0.450
Er 0.500 0.500 0.000
Er 0.000 0.500 0.500
Er 0.000 0.000 0.500
Er 0.500 0.000 0.000

Computed properties:
For the volume, the calculation gives 671.3 Å³ per cell. As for the total energy: -4.46 eV/atom. The calculation puts the theoretical density at 7.9 g cm⁻³. Its crystal system is orthorhombic.



Record 2
A plane-wave DFT calculation with PBE-GGA was carried out for a geometry-optimized Al3Cu2 structure.

a b c (Å): 5.625 5.625 6.681
angles (deg): 65.10 65.10 60.00
Atoms (fractional coordinates):
Al 0.353 0.147 0.750
Al 0.147 0.750 0.750
Al 0.647 0.853 0.250
Al 0.250 0.647 0.250
Al 0.853 0.250 0.250
Al 0.750 0.353 0.750
Cu 0.319 0.319 0.042
Cu 0.819 0.819 0.542
Cu 0.181 0.181 0.458
Cu 0.681 0.681 0.958

Computed properties:
For the volume, the calculation gives 160.0 Å³ per cell. As for the total energy: -3.85 eV/atom. The calculation puts the theoretical density at 4.3 g cm⁻³. Its crystal system is trigonal.



What is the theoretical density in the second record? 4.3 g cm⁻³